# 1
Compound: SmThBe2Si2
Source: the Alexandria database
Functional: PBE-GGA
Structure: optimized geometry

Cell: 3.9289 3.9289 8.4199 Å, 90.00 90.00 120.00°
Space group P-3m1 (No. 164)
Inequivalent atoms, fractional coordinates:
1 Sm 0.0000 0.0000 0.0000 x1
2 Th 0.0000 0.0000 0.5000 x1
3 Be 0.3333 0.6667 0.2485 x2
4 Si 0.3333 0.6667 0.7534 x2

Crystal system: trigonal
VASP energy (eV per atom): -5.716
Formation energy without anion corrections (eV per atom): -0.64
Density of states at the Fermi level (states/eV per atom): 0.749


# 2
Compound: CaLa2HgOs
Source: the Alexandria database
Functional: PBE-GGA
Structure: optimized geometry

Cell: 5.480 5.480 5.703 Å, 90.00 90.00 90.00°
Space group P4/mmm (No. 123)
Inequivalent atoms, fractional coordinates:
1 Ca 0.000 0.000 0.000 x1
2 La 0.000 0.500 0.500 x2
3 Hg 0.500 0.500 0.000 x1
4 Os 0.000 0.000 0.500 x1

Crystal system: tetragonal
VASP energy (eV per atom): -4.799
Density of states at the Fermi level (states/eV per atom): 0.771


# 3
Compound: La3Sm2HoSe6
Source: the Alexandria database
Functional: PBE-GGA
Structure: optimized geometry

Cell: 7.285 12.657 7.343 Å, 90.00 109.39 90.00°
Space group C2/m (No. 12)
Inequivalent atoms, fractional coordinates:
1 La 0.000 0.000 0.000 x2
2 La 0.000 0.330 0.000 x4
3 Sm 0.000 0.167 0.500 x4
4 Ho 0.000 0.500 0.500 x2
5 Se 0.242 0.337 0.735 x8
6 Se 0.247 0.500 0.262 x4

Crystal system: monoclinic
VASP energy (eV per atom): -6.042
Formation energy without anion corrections (eV per atom): -1.90
Density of states at the Fermi level (states/eV per atom): 0.529


# 4
Compound: KBeSi3
Source: the Alexandria database
Functional: PBE-GGA
Structure: optimized geometry

Cell: 4.591 4.591 4.591 Å, 90.00 90.00 90.00°
Space group Pm-3m (No. 221)
Inequivalent atoms, fractional coordinates:
1 K 0.000 0.000 0.000 x1
2 Be 0.500 0.500 0.500 x1
3 Si 0.000 0.500 0.500 x3

Crystal system: cubic
VASP energy (eV per atom): -3.539
Formation energy without anion corrections (eV per atom): 0.68
Energy above the most stable polymorph in this dataset (kcal/mol of atoms): 0.000
Density of states at the Fermi level (states/eV per atom): 0.509


# 5
Compound: AlSiNi3
Source: the Alexandria database
Functional: PBE-GGA
Structure: optimized geometry

Cell: 5.631 5.631 5.631 Å, 90.00 90.00 90.00°
Space group Pm-3m (No. 221)
Inequivalent atoms, fractional coordinates:
1 Al 0.000 0.000 0.500 x3
2 Si 0.000 0.500 0.500 x3
3 Ni 0.253 0.253 0.253 x8
4 Ni 0.500 0.500 0.500 x1

Crystal system: cubic
VASP energy (eV per atom): -5.694
Formation energy without anion corrections (eV per atom): -0.39
Energy above the most stable polymorph in this dataset (kcal/mol of atoms): 3.717
Density of states at the Fermi level (states/eV per atom): 0.795


# 6
Compound: BC2
Source: the Alexandria database
Functional: PBE-GGA
Structure: optimized geometry

Cell: 11.952 2.579 5.291 Å, 90.00 104.00 90.00°
Space group C2/m (No. 12)
Inequivalent atoms, fractional coordinates:
1 B 0.063 0.000 0.349 x4
2 B 0.132 0.500 0.937 x4
3 C 0.038 0.000 0.902 x4
4 C 0.136 0.500 0.440 x4
5 C 0.209 0.500 0.723 x4
6 C 0.214 0.500 0.236 x4

Crystal system: monoclinic
VASP energy (eV per atom): -8.032
Energy above the most stable polymorph in this dataset (kcal/mol of atoms): 2.371
Density of states at the Fermi level (states/eV per atom): 0.165


# 7
Compound: As2PPb6Cl3
Source: the Alexandria database
Functional: PBE-GGA
Structure: optimized geometry

Cell: 7.512 13.016 7.665 Å, 90.00 109.10 90.00°
Space group C2/m (No. 12)
Inequivalent atoms, fractional coordinates:
1 As 0.000 0.166 0.000 x4
2 P 0.000 0.500 0.000 x2
3 Pb 0.236 0.337 0.219 x8
4 Pb 0.247 0.000 0.218 x4
5 Cl 0.000 0.000 0.500 x2
6 Cl 0.000 0.330 0.500 x4

Crystal system: monoclinic
VASP energy (eV per atom): -4.002
Formation energy without anion corrections (eV per atom): -0.46
Density of states at the Fermi level (states/eV per atom): 0.024


# 8
Compound: LaDyBr
Source: the Alexandria database
Functional: PBE-GGA
Structure: optimized geometry

Cell: 5.2533 5.2533 26.3190 Å, 90.00 90.00 120.00°
Space group R-3m (No. 166, hexagonal axes)
Inequivalent atoms, fractional coordinates:
1 La 0.0000 0.0000 0.0818 x6
2 Dy 0.0000 0.0000 0.3286 x6
3 Br 0.0000 0.0000 0.2084 x6

Crystal system: trigonal
VASP energy (eV per atom): -4.252
Formation energy without anion corrections (eV per atom): -0.52
Energy above the most stable polymorph in this dataset (kcal/mol of atoms): 5.399
Density of states at the Fermi level (states/eV per atom): 1.894


# 9
Compound: NpAgS2
Source: the Alexandria database
Functional: PBE-GGA
Structure: optimized geometry

Cell: 3.620 23.228 4.249 Å, 90.00 90.00 90.00°
Space group Cmcm (No. 63)
Inequivalent atoms, fractional coordinates:
1 Np 0.000 0.180 0.250 x4
2 Ag 0.000 0.461 0.250 x4
3 S 0.000 0.299 0.250 x4
4 S 0.000 0.410 0.750 x4

Crystal system: orthorhombic
VASP energy (eV per atom): -6.863
Formation energy without anion corrections (eV per atom): -0.85
Density of states at the Fermi level (states/eV per atom): 1.767


# 10
Compound: Nb2As2S
Source: the Alexandria database
Functional: PBE-GGA
Structure: optimized geometry

Cell: 7.071 7.071 3.491 Å, 90.00 90.00 90.00°
Space group P4/mbm (No. 127)
Inequivalent atoms, fractional coordinates:
1 Nb 0.154 0.346 0.000 x4
2 As 0.137 0.637 0.500 x4
3 S 0.000 0.000 0.000 x2

Crystal system: tetragonal
VASP energy (eV per atom): -7.207
Formation energy without anion corrections (eV per atom): -0.49
Density of states at the Fermi level (states/eV per atom): 0.496


# 11
Compound: K2BiSe
Source: the Alexandria database
Functional: PBE-GGA
Structure: optimized geometry

Cell: 8.175 8.175 8.175 Å, 90.00 90.00 90.00°
Space group Fm-3m (No. 225)
Inequivalent atoms, fractional coordinates:
1 K 0.250 0.250 0.250 x8
2 Bi 0.000 0.000 0.000 x4
3 Se 0.000 0.000 0.500 x4

Crystal system: cubic
VASP energy (eV per atom): -2.669
Formation energy without anion corrections (eV per atom): -0.28
Energy above the most stable polymorph in this dataset (kcal/mol of atoms): 3.623
Density of states at the Fermi level (states/eV per atom): 1.068


# 12
Compound: TlInW2S
Source: the Alexandria database
Functional: PBE-GGA
Structure: optimized geometry

Cell: 5.274 5.274 5.153 Å, 90.00 90.00 90.00°
Space group P4/mmm (No. 123)
Inequivalent atoms, fractional coordinates:
1 Tl 0.000 0.000 0.000 x1
2 In 0.500 0.500 0.500 x1
3 W 0.000 0.500 0.000 x2
4 S 0.000 0.000 0.500 x1

Crystal system: tetragonal
VASP energy (eV per atom): -4.509
Formation energy without anion corrections (eV per atom): 2.52
Density of states at the Fermi level (states/eV per atom): 1.367